# 1
# SrCaAlP2

Crystalline SrCaAlP2 at its relaxed geometry (PBE, the Alexandria database).

Results
DOS(E_F): 3.2 states/eV/f.u.
ΔE_f: -0.65 eV/atom

abc: 6.9965 5.2268 7.6714
angles: 90.00 103.90 90.00
Closest atoms and distances in Å follow each position.
Space group P2/c (No. 13)
Inequivalent atoms, fractional coordinates:
Sr 0.0000 0.2002 0.2500 (multiplicity 2)  6 P 3.14-3.41
Ca 0.5000 0.4851 0.7500 (multiplicity 2)  4 P 2.89-2.90, 2 Al 3.18
Al 0.5000 0.0000 0.0000 (multiplicity 2)  2 P 2.27
P 0.2364 0.2674 0.9503 (multiplicity 4)  1 Al 2.27

***

# 2
# TlAsSe2

Crystalline TlAsSe2 at its relaxed geometry (PBE, the Alexandria database).

Results
DOS(E_F): 2.4 states/eV/f.u.
energy: -51.8 eV for the cell shown

abc: 7.1844 7.1844 7.1844
angles: 90.00 90.00 90.00
Closest atoms and distances in Å follow each position.
Space group Fm-3m (No. 225)
Inequivalent atoms, fractional coordinates:
Tl 0.0000 0.0000 0.0000 (multiplicity 4)  8 Se 3.11
As 0.0000 0.0000 0.5000 (multiplicity 4)  8 Se 3.11
Se 0.2500 0.2500 0.2500 (multiplicity 8)  4 As 3.11, 4 Tl 3.11

***

# 3
# La7Sm12Y

Crystalline La7Sm12Y at its relaxed geometry (PBE, the Alexandria database).

Results
DOS(E_F): 34.5 states/eV/f.u.
energy above the most stable polymorph in this dataset: 360 meV per atom
ΔE_f: 0.57 eV/atom

abc: 11.5384 11.5384 11.5384
angles: 90.00 90.00 90.00
Closest atoms and distances in Å follow each position.
Space group Im-3m (No. 229)
Inequivalent atoms, fractional coordinates:
La 0.0000 0.0000 0.5000 (multiplicity 6)  12 Sm 4.08-4.12
La 0.2500 0.2500 0.2500 (multiplicity 8)  6 Sm 2.88
Sm 0.0000 0.2476 0.2476 (multiplicity 24)  2 La 2.88
Y 0.0000 0.0000 0.0000 (multiplicity 2)  12 Sm 4.04

***

# 4
# BePICl2

Crystalline BePICl2 at its relaxed geometry (PBE, the Alexandria database).

Results
DOS(E_F): 2.7 states/eV/f.u.
energy above the most stable polymorph in this dataset: 0 meV per atom

abc: 4.1593 4.1593 7.0362
angles: 90.00 90.00 90.00
Closest atoms and distances in Å follow each position.
Space group P4/mmm (No. 123)
Inequivalent atoms, fractional coordinates:
Be 0.0000 0.0000 0.0000 (multiplicity 1)  4 Cl 2.08
P 0.0000 0.0000 0.5000 (multiplicity 1)  4 I 2.94
I 0.5000 0.5000 0.5000 (multiplicity 1)  4 P 2.94
Cl 0.0000 0.5000 0.0000 (multiplicity 2)  2 Be 2.08

***

# 5
# Zn8Ni2Au

Crystalline Zn8Ni2Au at its relaxed geometry (PBE, the Alexandria database).

Results
DOS(E_F): 3.2 states/eV/f.u.
ΔE_f: -0.15 eV/atom

abc: 13.8789 3.7753 6.1853
angles: 90.00 107.54 90.00
Closest atoms and distances in Å follow each position.
Space group C2/m (No. 12)
Inequivalent atoms, fractional coordinates:
Zn 0.0491 0.0000 0.2206 (multiplicity 4)  1 Ni 2.62, 9 Zn 2.66-2.92, 2 Au 2.78
Zn 0.1070 0.5000 0.9654 (multiplicity 4)  3 Ni 2.53-2.62, 5 Zn 2.64-2.73, 1 Au 2.81
Zn 0.1489 0.0000 0.7096 (multiplicity 4)  3 Ni 2.55-2.58, 5 Zn 2.63-2.78, 2 Au 2.81
Zn 0.1851 0.5000 0.4124 (multiplicity 4)  8 Zn 2.61-2.78, 3 Ni 2.64-2.67, 1 Au 2.78
Ni 0.2249 0.0000 0.1450 (multiplicity 4)  10 Zn 2.53-2.67
Au 0.0000 0.5000 0.5000 (multiplicity 2)  12 Zn 2.78-2.81

***

# 6
# Ca2CdW

Crystalline Ca2CdW at its relaxed geometry (PBE, the Alexandria database).

Results
DOS(E_F): 4.0 states/eV/f.u.
ΔE_f: 0.76 eV/atom

abc: 10.6256 3.1016 5.8857
angles: 90.00 99.51 90.00
Closest atoms and distances in Å follow each position.
Space group C2/m (No. 12)
Inequivalent atoms, fractional coordinates:
Ca 0.2445 0.0000 0.2367 (multiplicity 4)  6 Ca 3.10-3.45, 3 W 3.15-3.25, 3 Cd 3.24-3.28
Cd 0.0000 0.0000 0.5000 (multiplicity 2)  2 Cd 3.10, 6 Ca 3.24-3.28, 4 W 3.33
W 0.0000 0.5000 0.0000 (multiplicity 2)  2 W 3.10, 6 Ca 3.15-3.25, 4 Cd 3.33

***

# 7
# LiZnGa

Crystalline LiZnGa at its relaxed geometry (PBE, the Alexandria database).

Results
DOS(E_F): 1.3 states/eV/f.u.
energy above the most stable polymorph in this dataset: 162 meV per atom
ΔE_f: -0.07 eV/atom

abc: 4.5944 4.5944 8.5217
angles: 90.00 90.00 120.00
Closest atoms and distances in Å follow each position.
Space group R3m (No. 160, hexagonal axes)
Inequivalent atoms, fractional coordinates:
Li 0.0000 0.0000 0.0000 (multiplicity 3)  4 Zn 2.65-2.81, 3 Ga 2.66
Zn 0.0000 0.0000 0.3292 (multiplicity 3)  4 Ga 2.63-2.66, 4 Li 2.65-2.81
Ga 0.0000 0.0000 0.6372 (multiplicity 3)  4 Zn 2.63-2.66, 3 Li 2.66

***

# 8
# TmSc5Pd6

Crystalline TmSc5Pd6 at its relaxed geometry (PBE, the Alexandria database).

Results
DOS(E_F): 7.1 states/eV/f.u.
ΔE_f: -0.90 eV/atom

abc: 4.7727 6.5368 7.5314
angles: 90.00 108.39 90.00
Closest atoms and distances in Å follow each position.
Space group P2/m (No. 10)
Inequivalent atoms, fractional coordinates:
Tm 0.0000 0.0000 0.0000 (multiplicity 1)  8 Pd 2.92-2.95, 2 Sc 3.27
Sc 0.0000 0.5000 0.0000 (multiplicity 1)  8 Pd 2.86-2.92
Sc 0.3321 0.0000 0.6635 (multiplicity 2)  8 Pd 2.84-2.94
Sc 0.3340 0.5000 0.6673 (multiplicity 2)  8 Pd 2.84-2.88
Pd 0.1698 0.2534 0.3409 (multiplicity 4)  7 Sc 2.84-2.92, 1 Tm 2.95
Pd 0.5000 0.2579 0.0000 (multiplicity 2)  6 Sc 2.86-2.94, 2 Tm 2.92, 1 Pd 3.17

***

| no. | V (Å³/f.u.) |
| --- | --- |
| 1 | 136.2 |
| 2 | 92.7 |
| 3 | 768.1 |
| 4 | 121.7 |
| 5 | 154.5 |
| 6 | 95.7 |
| 7 | 51.9 |
| 8 | 223.0 |